## TlSiNi (PBE)

Data for a geometry-optimized TlSiNi structure.

Geometry as extended XYZ:
```
3
Lattice="3.354 0.000 0.000 -1.677 2.904 0.000 0.000 0.000 5.731" Properties=species:S:1:pos:R:3 pbc="T T T"
Tl 0.000 0.000 0.000
Si 1.677 0.968 3.291
Ni 0.000 1.936 2.135
```

Calculated values
Offset from the most stable computed form: 29.5 meV per atom
Raw formation energy: 171 meV/atom

---

## Ti4BeFe5 (PBE)

Data for a geometry-optimized Ti4BeFe5 structure.

Geometry as extended XYZ:
```
10
Lattice="2.928 0.000 0.000 0.000 2.928 0.000 0.000 0.000 14.183" Properties=species:S:1:pos:R:3 pbc="T T T"
Ti 0.000 0.000 1.492
Ti 0.000 0.000 4.477
Ti 0.000 0.000 9.706
Ti 0.000 0.000 12.691
Be 0.000 0.000 7.091
Fe 1.464 1.464 0.000
Fe 1.464 1.464 2.953
Fe 1.464 1.464 5.927
Fe 1.464 1.464 8.256
Fe 1.464 1.464 11.230
```

Calculated values
Formation enthalpy at 0 K: -318 kJ/mol of formula units